This record from Alexandria via LeMat-Bulk describes a geometry-optimized VHClO2 structure. The functional is PBE+U.

a = 3.0559 Å, b = 4.9640 Å, c = 10.1657 Å
α = 76.88°, β = 90.00°, γ = 90.00°
Each line ends with the local moment (μB).
Positions (direct):
H: 0.7500 0.6034 0.6123  0.00
Cl: 0.7500 0.1835 0.1475  -0.07
V: 0.7500 0.9479 0.3594  1.14
O: 0.7500 0.2627 0.6482  -0.07
O: 0.7500 0.8106 0.5767  -0.02
Cl: 0.2500 0.8165 0.8525  -0.07
O: 0.2500 0.1894 0.4233  -0.02
H: 0.2500 0.3966 0.3877  0.00
V: 0.2500 0.0521 0.6406  1.14
O: 0.2500 0.7373 0.3518  -0.07

## Properties
Total moment in μB per atom: 0.200
Calculated density in g/cm3: 2.6
Crystal system: monoclinic
Uncorrected energy in eV per atom: -5.914
Space group: P2_1/m, No. 11